1.
Below is a relaxed LiVP2O8 crystal, with properties calculated at the PBEsol level.

As for the uncorrected formation energy: -2203 meV per atom. For the energy above the most stable polymorph in this dataset, the calculation gives 0.0005 eV/atom. The calculation puts the raw total energy at -91.6 eV/f.u. The value obtained for the total magnetic moment is 0.000 Bohr magnetons per cell.

It has space group C2/m (No. 12), with a = 8.056 Å, b = 5.125 Å, c = 7.386 Å, α = 90.00°, β = 98.48° and γ = 90.00°. Symmetry generates all atoms from Li at (0.000, 0.000, 0.000), V at (0.000, 0.000, 0.500), P at (0.176, 0.500, 0.714), O at (0.059, 0.257, 0.680), O at (0.212, 0.000, 0.443) and O at (0.222, 0.000, 0.102).

***

2.
Below is a relaxed SrAg2Sb crystal, with properties calculated at the PBEsol level.

As for the uncorrected formation energy: -294 meV per atom. The calculation puts the raw total energy at -14.2 eV/f.u. The value obtained for the total magnetic moment is 0.000 Bohr magnetons per cell.

It has space group Pmmm (No. 47), with a = 3.666 Å, b = 4.851 Å, c = 5.672 Å, α = 90.00°, β = 90.00° and γ = 90.00°. Symmetry generates all atoms from Sr at (0.000, 0.000, 0.000), Ag at (0.500, 0.500, 0.243) and Sb at (0.500, 0.000, 0.500).

***

3.
Below is a relaxed Mg2FeSe crystal, with properties calculated at the PBEsol level.

As for the uncorrected formation energy: 42 meV per atom. The calculation puts the raw total energy at -16.1 eV/f.u. The value obtained for the total magnetic moment is 4.687 Bohr magnetons per cell.

It has space group I-4m2 (No. 119), with a = 3.858 Å, b = 3.858 Å, c = 9.207 Å, α = 90.00°, β = 90.00° and γ = 90.00°. Symmetry generates all atoms from Mg at (0.000, 0.000, 0.000), Mg at (0.000, 0.500, 0.250), Fe at (0.000, 0.500, 0.750) and Se at (0.000, 0.000, 0.500).

***

4.
Below is a relaxed Sr11InSb9 crystal, with properties calculated at the PBEsol level.

As for the uncorrected formation energy: -1033 meV per atom. The calculation puts the raw total energy at -85.9 eV/f.u. The value obtained for the total magnetic moment is 0.000 Bohr magnetons per cell.

It has space group Iba2 (No. 45), with a = 12.330 Å, b = 12.987 Å, c = 17.455 Å, α = 90.00°, β = 90.00° and γ = 90.00°. Symmetry generates all atoms from Sr at (0.000, 0.000, 0.000), Sr at (0.072, 0.278, 0.022), Sr at (0.088, 0.272, 0.337), Sr at (0.160, 0.173, 0.680), Sr at (0.184, 0.446, 0.551), Sr at (0.186, 0.441, 0.809), In at (0.000, 0.000, 0.288), Sb at (0.000, 0.500, 0.428), Sb at (0.034, 0.395, 0.182), Sb at (0.128, 0.117, 0.176), Sb at (0.150, 0.140, 0.870) and Sb at (0.178, 0.178, 0.496).

***

5.
Below is a relaxed ZrMoF2 crystal, with properties calculated at the PBEsol level.

As for the uncorrected formation energy: -872 meV per atom. The calculation puts the raw total energy at -28.2 eV/f.u. The value obtained for the total magnetic moment is 0.003 Bohr magnetons per cell.

It has space group R-3m (No. 166, hexagonal axes), with a = 2.7828 Å, b = 2.7828 Å, c = 24.5841 Å, α = 90.00°, β = 90.00° and γ = 120.00°. Symmetry generates all atoms from Zr at (0.0000, 0.0000, 0.0000), Mo at (0.0000, 0.0000, 0.5000) and F at (0.0000, 0.0000, 0.0864).

***

6.
Below is a relaxed KMnRu crystal, with properties calculated at the PBEsol level.

The formation energy comes out at 1.7509 eV/atom. The calculation puts the raw total energy at -15.8 eV/f.u. The value obtained for the total magnetic moment is 15.349 Bohr magnetons per cell.

It has space group F-43m (No. 216), with a = 6.303 Å, b = 6.303 Å, c = 6.303 Å, α = 90.00°, β = 90.00° and γ = 90.00°. Symmetry generates all atoms from K at (0.000, 0.000, 0.000), Mn at (0.000, 0.000, 0.500) and Ru at (0.250, 0.250, 0.750).

***

7.
Below is a relaxed TaP3 crystal, with properties calculated at the PBEsol level.

The formation energy comes out at 0.0584 eV/atom. The calculation puts the raw total energy at -29.7 eV/f.u. The value obtained for the total magnetic moment is 0.000 Bohr magnetons per cell.

It has space group Cmmm (No. 65), with a = 5.337 Å, b = 6.776 Å, c = 3.118 Å, α = 90.00°, β = 90.00° and γ = 90.00°. Symmetry generates all atoms from Ta at (0.000, 0.000, 0.000), P at (0.000, 0.500, 0.000) and P at (0.250, 0.250, 0.500).

***

8.
Below is a relaxed Au2CCl crystal, with properties calculated at the PBEsol level.

As for the uncorrected formation energy: 1729 meV per atom. The calculation puts the raw total energy at -12.6 eV/f.u. The value obtained for the total magnetic moment is 3.401 Bohr magnetons per cell.

It has space group Fm-3m (No. 225), with a = 6.239 Å, b = 6.239 Å, c = 6.239 Å, α = 90.00°, β = 90.00° and γ = 90.00°. Symmetry generates all atoms from Au at (0.250, 0.250, 0.250), C at (0.000, 0.000, 0.000) and Cl at (0.000, 0.000, 0.500).